[1]
Below is an optimized crystal structure of KRb2ZnAu, with properties calculated at the PBE level.

Computed properties:
- Total magnetization: 0.0 μB/f.u.
- Calculated volume: 560.96 Å³/cell
- E_form: -1.3 kcal/mol of atoms
- Calculated density: 2.797 Mg/m³
- ΔE to the lowest computed polymorph: 0.0 meV/atom
- Density of states at the Fermi level: 3.045 states/eV/f.u.

a b c (Å): 4.795 5.938 19.703
angles (deg): 90.00 90.00 90.00
Space group Imm2 (No. 44)
One atom of each set of equivalent atoms:
K: 0.000 0.000 0.000 [2 per cell]
Rb: 0.000 0.000 0.296 [2 per cell]
Rb: 0.000 0.000 0.652 [2 per cell]
Zn: 0.000 0.500 0.377 [2 per cell]
Au: 0.000 0.000 0.829 [2 per cell]



[2]
Below is an optimized crystal structure of KInP, with properties calculated at the PBE level.

Computed properties:
- Total magnetization: 0.0 μB/f.u.
- Calculated volume: 75.45 Å³/cell
- E_form: 1.6 kcal/mol of atoms
- Calculated density: 4.069 Mg/m³
- Density of states at the Fermi level: 2.605 states/eV/f.u.

a b c (Å): 5.1895 5.1895 3.2349
angles (deg): 90.00 90.00 120.00
Space group P-6m2 (No. 187)
One atom of each set of equivalent atoms:
K: 0.0000 0.0000 0.0000 [1 per cell]
In: 0.3333 0.6667 0.5000 [1 per cell]
P: 0.6667 0.3333 0.5000 [1 per cell]



[3]
Below is an optimized crystal structure of YTmCd, with properties calculated at the PBE level.

Computed properties:
- Total magnetization: 0.0 μB/f.u.
- Calculated volume: 173.99 Å³/cell
- E_form: -2.8 kcal/mol of atoms
- Calculated density: 7.067 Mg/m³
- ΔE to the lowest computed polymorph: 80.1 meV/atom
- Density of states at the Fermi level: 2.131 states/eV/f.u.

a b c (Å): 4.749 4.749 7.713
angles (deg): 90.00 90.00 90.00
Space group P4/nmm (No. 129, origin choice 2)
One atom of each set of equivalent atoms:
Y: 0.250 0.250 0.146 [2 per cell]
Tm: 0.250 0.750 0.500 [2 per cell]
Cd: 0.250 0.250 0.757 [2 per cell]